The following is a DFT calculation (PBE-GGA) of a geometry-optimized CoGeMoPd structure.

The calculation puts the calculated density at 9.9 Mg/m³. The magnetization is 0.1 μB/f.u. The calculation puts the total energy at -6.88 eV/atom.

The space group is F-43m (No. 216) and the conventional cell measures 6.082, 6.082 and 6.082 Å, with angles of 90.00, 90.00 and 90.00 degrees. Symmetry generates all atoms from Co at (0.000, 0.000, 0.000), Ge at (0.250, 0.250, 0.750), Mo at (0.000, 0.000, 0.500) and Pd at (0.250, 0.250, 0.250).